Record 1
# Ho3TmCo (PBE-GGA, optimized geometry)
data_Ho3TmCo
_symmetry_space_group_name_H-M 'P 1'
_symmetry_Int_Tables_number 1
_cell_length_a 5.233
_cell_length_b 5.233
_cell_length_c 5.233
_cell_angle_alpha 90.00
_cell_angle_beta 90.00
_cell_angle_gamma 90.00
loop_
_symmetry_equiv_pos_as_xyz
'x,y,z'
loop_
_atom_site_label
_atom_site_type_symbol
_atom_site_fract_x
_atom_site_fract_y
_atom_site_fract_z
Ho1 Ho 0.500 0.000 0.000
Ho2 Ho 0.000 0.000 0.500
Ho3 Ho 0.000 0.500 0.000
Co1 Co 0.000 0.000 0.000
Tm1 Tm 0.500 0.500 0.500
# * calculated volume: 143 Å³/cell
# * energy above the most stable polymorph in this dataset: 119 meV per atom

---

Record 2
# Ho6Tm2Co (PBE-GGA, optimized geometry)
data_Ho6Tm2Co
_symmetry_space_group_name_H-M 'P 1'
_symmetry_Int_Tables_number 1
_cell_length_a 3.650
_cell_length_b 8.442
_cell_length_c 8.554
_cell_angle_alpha 86.30
_cell_angle_beta 90.00
_cell_angle_gamma 90.00
loop_
_symmetry_equiv_pos_as_xyz
'x,y,z'
loop_
_atom_site_label
_atom_site_type_symbol
_atom_site_fract_x
_atom_site_fract_y
_atom_site_fract_z
Ho1 Ho 0.500 0.222 0.950
Ho2 Ho 0.000 0.035 0.299
Ho3 Ho 0.000 0.554 0.783
Ho4 Ho 0.000 0.446 0.217
Ho5 Ho 0.500 0.778 0.050
Ho6 Ho 0.000 0.965 0.701
Tm1 Tm 0.500 0.701 0.466
Tm2 Tm 0.500 0.299 0.534
Co1 Co 0.000 0.000 0.000
# * calculated volume: 263 Å³/cell

---

Record 3
# Ho2Tm3Co2 (PBE-GGA, optimized geometry)
data_Ho2Tm3Co2
_symmetry_space_group_name_H-M 'P 1'
_symmetry_Int_Tables_number 1
_cell_length_a 3.617
_cell_length_b 6.182
_cell_length_c 8.743
_cell_angle_alpha 115.13
_cell_angle_beta 90.00
_cell_angle_gamma 107.01
loop_
_symmetry_equiv_pos_as_xyz
'x,y,z'
loop_
_atom_site_label
_atom_site_type_symbol
_atom_site_fract_x
_atom_site_fract_y
_atom_site_fract_z
Ho1 Ho 0.171 0.341 0.803
Ho2 Ho 0.829 0.659 0.197
Tm1 Tm 0.500 0.000 0.000
Tm2 Tm 0.381 0.763 0.572
Tm3 Tm 0.619 0.237 0.428
Co1 Co 0.177 0.354 0.240
Co2 Co 0.823 0.646 0.760
# * calculated volume: 167 Å³/cell

---

Record 4
# Ho3TmCo (PBE-GGA, optimized geometry)
data_Ho3TmCo
_symmetry_space_group_name_H-M 'P 1'
_symmetry_Int_Tables_number 1
_cell_length_a 6.014
_cell_length_b 6.297
_cell_length_c 7.378
_cell_angle_alpha 90.01
_cell_angle_beta 90.00
_cell_angle_gamma 90.00
loop_
_symmetry_equiv_pos_as_xyz
'x,y,z'
loop_
_atom_site_label
_atom_site_type_symbol
_atom_site_fract_x
_atom_site_fract_y
_atom_site_fract_z
Tm1 Tm 0.926 0.020 0.201
Tm2 Tm 0.426 0.332 0.701
Ho1 Ho 0.426 0.331 0.201
Ho2 Ho 0.925 0.501 0.951
Ho3 Ho 0.425 0.852 0.451
Ho4 Ho 0.425 0.852 0.950
Ho5 Ho 0.926 0.022 0.701
Ho6 Ho 0.925 0.501 0.450
Co1 Co 0.676 0.678 0.201
Co2 Co 0.176 0.675 0.701
# * calculated volume: 279 Å³/cell
# * energy above the most stable polymorph in this dataset: 60 meV per atom

---

What DOS at the Fermi energy values result from the calculations? In sequence: 1.51; 1.23; 0.98; 1.30 states/eV/atom.
What energy of formation values result from the calculations? In sequence: 2; -27; -195; -56 meV/atom.